Record 1
## TlAgRhBr6 (GGA-PBE)

Data for an optimized crystal structure of TlAgRhBr6.

Cell lengths 6.976, 6.976, 6.885 Å; angles 90.00, 90.00, 60.00 degrees
Fractional positions:
Rh1 0.333 0.333 0.500
Br1 0.031 0.351 0.290
Br2 0.351 0.618 0.290
Br3 0.618 0.351 0.710
Br4 0.351 0.031 0.710
Br5 0.031 0.618 0.710
Br6 0.618 0.031 0.290
Ag1 0.667 0.667 0.500
Tl1 0.000 0.000 0.000

Final energy, eV per atom: -2.92

Record 2
## PmSc5Ga6 (GGA-PBE)

Data for an optimized crystal structure of PmSc5Ga6.

Cell lengths 4.849, 6.759, 8.363 Å; angles 113.83, 106.50, 90.00 degrees
Fractional positions:
Pm1 0.000 0.000 0.000
Sc1 0.661 0.161 0.322
Sc2 0.000 0.500 0.000
Sc3 0.670 0.670 0.339
Sc4 0.339 0.839 0.678
Sc5 0.330 0.330 0.661
Ga1 0.827 0.089 0.655
Ga2 0.173 0.911 0.345
Ga3 0.500 0.726 0.000
Ga4 0.173 0.434 0.345
Ga5 0.827 0.566 0.655
Ga6 0.500 0.274 0.000

Final energy, eV per atom: -5.12